# ScPaCr2O8 (PBE with a Hubbard U, optimized geometry)
data_ScPaCr2O8
_cell_length_a 6.943
_cell_length_b 6.943
_cell_length_c 6.455
_cell_angle_alpha 90.00
_cell_angle_beta 90.00
_cell_angle_gamma 90.00
_symmetry_space_group_name_H-M 'I -4 m 2'
_symmetry_Int_Tables_number 119
_symmetry_space_group_name_Hall 'I -4 -2'
loop_
_atom_site_label
_atom_site_fract_x
_atom_site_fract_y
_atom_site_fract_z
Sc1 0.000 0.000 0.000
Pa1 0.000 0.500 0.750
Cr1 0.000 0.000 0.500
Cr2 0.000 0.500 0.250
O1 0.000 0.187 0.690
O2 0.000 0.311 0.060
# Calculated density = 5.42 g/cm³
# Electronic total energy = -8.345 eV/atom
# Total moment = 0.33 μB/atom